Entry 1:
Here is crystalline HoCu4Os at its relaxed geometry from Alexandria. Energies are from PBE-GGA.

Properties
- space group = F-43m
- ΔH_f (0 K) (eV/atom) = 0.01

Cell lengths 4.9562, 4.9562, 4.9562 Å; angles 60.00, 60.00, 60.00 degrees
Sites, in units of the cell vectors:
Cu1 0.6239 0.6239 0.1283
Cu2 0.6239 0.1283 0.6239
Cu3 0.1283 0.6239 0.6239
Cu4 0.6239 0.6239 0.6239
Os1 0.2500 0.2500 0.2500
Ho1 0.0000 0.0000 0.0000


Entry 2:
Here is crystalline HoPaCuOs at its relaxed geometry from Alexandria. Energies are from PBE-GGA.

Properties
- space group = F-43m
- ΔH_f (0 K) (eV/atom) = -0.17

Cell lengths 4.8594, 4.8594, 4.8594 Å; angles 60.00, 60.00, 60.00 degrees
Sites, in units of the cell vectors:
Ho1 0.7500 0.7500 0.7500
Pa1 0.2500 0.2500 0.2500
Os1 0.5000 0.5000 0.5000
Cu1 0.0000 0.0000 0.0000


Entry 3:
Here is crystalline HoPuCuOs at its relaxed geometry from Alexandria. Energies are from PBE-GGA.

Properties
- space group = F-43m
- ΔH_f (0 K) (eV/atom) = -0.09

Cell lengths 4.8358, 4.8358, 4.8358 Å; angles 60.00, 60.00, 60.00 degrees
Sites, in units of the cell vectors:
Ho1 0.0000 0.0000 0.0000
Os1 0.7500 0.7500 0.7500
Pu1 0.5000 0.5000 0.5000
Cu1 0.2500 0.2500 0.2500


Entry 4:
Here is crystalline HoScCuOs at its relaxed geometry from Alexandria. Energies are from PBE-GGA.

Properties
- space group = F-43m
- ΔH_f (0 K) (eV/atom) = -0.32

Cell lengths 4.7055, 4.7055, 4.7055 Å; angles 60.00, 60.00, 60.00 degrees
Sites, in units of the cell vectors:
Sc1 0.5000 0.5000 0.5000
Ho1 0.0000 0.0000 0.0000
Cu1 0.2500 0.2500 0.2500
Os1 0.7500 0.7500 0.7500


Entry 5:
Here is crystalline TbHoCuOs at its relaxed geometry from Alexandria. Energies are from PBE-GGA.

Properties
- space group = F-43m
- ΔH_f (0 K) (eV/atom) = -0.26

Cell lengths 4.8523, 4.8523, 4.8523 Å; angles 60.00, 60.00, 60.00 degrees
Sites, in units of the cell vectors:
Os1 0.7500 0.7500 0.7500
Cu1 0.2500 0.2500 0.2500
Tb1 0.0000 0.0000 0.0000
Ho1 0.5000 0.5000 0.5000


Entry 6:
Here is crystalline HoTmCuOs at its relaxed geometry from Alexandria. Energies are from PBE-GGA.

Properties
- space group = F-43m
- ΔH_f (0 K) (eV/atom) = -0.31

Cell lengths 4.8086, 4.8086, 4.8086 Å; angles 60.00, 60.00, 60.00 degrees
Sites, in units of the cell vectors:
Cu1 0.2500 0.2500 0.2500
Os1 0.7500 0.7500 0.7500
Tm1 0.5000 0.5000 0.5000
Ho1 0.0000 0.0000 0.0000


Entry 7:
Here is crystalline Ho2CuP at its relaxed geometry from Alexandria. Energies are from PBE-GGA.

Properties
- space group = R-3m
- ΔH_f (0 K) (eV/atom) = -0.26

Cell lengths 3.7647, 3.7647, 9.0618 Å; angles 78.01, 78.01, 60.00 degrees
Sites, in units of the cell vectors:
Ho1 0.8943 0.8943 0.3172
Ho2 0.1057 0.1057 0.6828
P1 0.5000 0.5000 0.5000
Cu1 0.0000 0.0000 0.0000


Entry 8:
Here is crystalline HoCu4P2 at its relaxed geometry from Alexandria. Energies are from PBE-GGA.

Properties
- space group = P4_2/mnm
- ΔH_f (0 K) (eV/atom) = -0.54

Cell lengths 3.7831, 7.2456, 7.2456 Å; angles 90.00, 90.00, 90.00 degrees
Sites, in units of the cell vectors:
Cu1 0.5000 0.5843 0.1653
Cu2 0.5000 0.1653 0.5843
Cu3 0.5000 0.4157 0.8347
Cu4 0.0000 0.0843 0.3347
Cu5 0.0000 0.6653 0.9157
Cu6 0.0000 0.3347 0.0843
Cu7 0.5000 0.8347 0.4157
Cu8 0.0000 0.9157 0.6653
Ho1 0.5000 0.0000 0.0000
Ho2 0.0000 0.5000 0.5000
P1 0.0000 0.2127 0.7873
P2 0.5000 0.7127 0.7127
P3 0.0000 0.7873 0.2127
P4 0.5000 0.2873 0.2873